# SrCa2Re

A relaxed SrCa2Re crystal (PBE, Alexandria).

Structure (POSCAR):
```
SrCa2Re
1.0
-1.358 2.009 4.203
-4.657 -0.468 -1.281
-0.126 -4.418 2.071
Ca Re Sr
2 1 1
Direct
0.000 0.000 0.000
0.500 0.500 0.000
0.500 0.000 0.500
0.000 0.500 0.500
```

The value obtained for the final energy is -3.66 eV per atom. For the relative energy among the computed polymorphs, the calculation gives 190.2 meV/atom. As for the crystal system: tetragonal. The formation energy comes out at 0.871 eV/atom. Its space group is P4/mmm.


# SmY3Ag4

A relaxed SmY3Ag4 crystal (PBE, Alexandria).

Structure (POSCAR):
```
SmY3Ag4
1.0
-3.579 -0.156 -0.613
0.867 -2.672 -4.380
-0.524 -8.910 5.331
Y Ag Sm
3 4 1
Direct
0.500 0.500 0.500
0.500 0.000 0.749
0.500 0.000 0.251
0.000 0.000 0.500
0.000 0.500 0.745
0.000 0.500 0.255
0.000 0.000 0.000
0.500 0.500 0.000
```

The value obtained for the final energy is -4.75 eV per atom. As for the crystal system: orthorhombic. The formation energy comes out at -0.315 eV/atom. Its space group is Pmmm.


# Ac2ThTe2N2

A relaxed Ac2ThTe2N2 crystal (PBE, Alexandria).

Structure (POSCAR):
```
Ac2ThTe2N2
1.0
-4.419 -1.511 -0.407
0.798 -1.129 -4.479
4.280 -6.557 4.868
N Ac Th Te
2 2 1 2
Direct
0.500 0.000 0.000
0.000 0.500 0.000
0.610 0.610 0.219
0.390 0.390 0.781
0.000 0.000 0.000
0.815 0.815 0.630
0.185 0.185 0.370
```

The calculation puts the uncorrected formation energy at -10.21 eV per formula unit. The value obtained for the final energy is -6.97 eV per atom. As for the crystal system: tetragonal. Its space group is I4/mmm.


# TbCeS3

A relaxed TbCeS3 crystal (PBE, Alexandria).

Structure (POSCAR):
```
TbCeS3
1.0
-2.470 -3.104 0.427
4.867 -4.351 -3.488
6.579 -3.390 13.409
S Ce Tb
12 4 4
Direct
0.750 0.489 0.894
0.250 0.149 0.782
0.250 0.649 0.718
0.250 0.375 0.565
0.750 0.851 0.218
0.750 0.125 0.065
0.750 0.351 0.282
0.250 0.511 0.106
0.250 0.875 0.935
0.750 0.625 0.435
0.750 0.989 0.606
0.250 0.011 0.394
0.250 0.139 0.204
0.750 0.861 0.796
0.750 0.361 0.704
0.250 0.639 0.296
0.250 0.266 0.956
0.750 0.234 0.456
0.750 0.734 0.044
0.250 0.766 0.544
```

The calculation puts the uncorrected formation energy at -10.28 eV per formula unit. The value obtained for the final energy is -6.64 eV per atom. For the relative energy among the computed polymorphs, the calculation gives 0.0 meV/atom. As for the crystal system: orthorhombic. Its space group is Pnma.


# Th3Ni4As4

A relaxed Th3Ni4As4 crystal (PBE, Alexandria).

Structure (POSCAR):
```
Th3Ni4As4
1.0
4.053 0.000 0.003
0.000 4.059 0.004
2.013 2.022 12.484
As Th Ni
4 3 4
Direct
0.302 0.801 0.397
0.442 0.442 0.115
0.558 0.558 0.885
0.698 0.199 0.603
0.151 0.651 0.698
0.000 0.000 0.000
0.849 0.349 0.302
0.396 0.896 0.207
0.750 0.750 0.500
0.250 0.250 0.500
0.604 0.104 0.793
```

The value obtained for the final energy is -6.76 eV per atom. As for the crystal system: orthorhombic. The formation energy comes out at -0.942 eV/atom. Its space group is Immm.


# NdSmTmCd

A relaxed NdSmTmCd crystal (PBE, Alexandria).

Structure (POSCAR):
```
NdSmTmCd
1.0
3.643 0.000 0.000
0.000 3.643 0.000
0.000 0.000 9.057
Tm Cd Nd Sm
1 1 1 1
Direct
0.500 0.500 0.351
0.000 0.000 0.561
0.000 0.000 0.078
0.500 0.500 0.794
```

The value obtained for the final energy is -3.87 eV per atom. For the relative energy among the computed polymorphs, the calculation gives 0.0 meV/atom. As for the crystal system: tetragonal. The formation energy comes out at -0.148 eV/atom. Its space group is P4mm.


# Cs2NaTlBr5

A relaxed Cs2NaTlBr5 crystal (PBE, Alexandria).

Structure (POSCAR):
```
Cs2NaTlBr5
1.0
-1.017 5.096 0.091
-4.844 -3.461 -8.737
-11.583 -2.445 7.390
Br Cs Na Tl
10 4 2 2
Direct
0.492 0.984 0.287
0.052 0.103 0.034
0.948 0.897 0.534
0.691 0.383 0.139
0.695 0.390 0.862
0.644 0.289 0.505
0.309 0.617 0.639
0.356 0.711 0.005
0.305 0.610 0.362
0.508 0.016 0.787
0.877 0.753 0.819
0.874 0.748 0.184
0.123 0.247 0.319
0.126 0.252 0.684
0.780 0.561 0.529
0.220 0.439 0.029
0.424 0.848 0.466
0.576 0.152 0.966
```

The calculation puts the uncorrected formation energy at -11.81 eV per formula unit. The value obtained for the final energy is -2.84 eV per atom. As for the crystal system: orthorhombic. Its space group is Cmc2_1.


# CsSr2Cu2

A relaxed CsSr2Cu2 crystal (PBE, Alexandria).

Structure (POSCAR):
```
CsSr2Cu2
1.0
-0.172 0.406 8.900
-6.902 -5.635 0.124
2.845 -3.480 0.214
Cu Cs Sr
4 2 4
Direct
0.099 0.401 0.000
0.401 0.901 0.000
0.599 0.099 0.000
0.901 0.599 0.000
0.000 0.000 0.000
0.500 0.500 0.000
0.156 0.656 0.500
0.844 0.344 0.500
0.344 0.156 0.500
0.656 0.844 0.500
```

The value obtained for the final energy is -2.32 eV per atom. For the relative energy among the computed polymorphs, the calculation gives 0.0 meV/atom. As for the crystal system: tetragonal. The formation energy comes out at 0.162 eV/atom. Its space group is P4/mbm.


Question: Which value of final energy does entry 1 give?
Answer: -3.66 eV per atom